(1)
Entry from Alexandria: Ca3Zn2 after structural relaxation (PBE-GGA).

Cell: 7.283 7.283 7.967 Å, 62.80 62.80 60.00°
Sites, in units of the cell vectors:
Ca (0.644, 0.856, 0.250)
Ca (0.144, 0.750, 0.750)
Ca (0.250, 0.644, 0.250)
Ca (0.356, 0.144, 0.750)
Ca (0.750, 0.356, 0.750)
Ca (0.856, 0.250, 0.250)
Zn (0.312, 0.312, 0.065)
Zn (0.688, 0.688, 0.935)
Zn (0.812, 0.812, 0.565)
Zn (0.188, 0.188, 0.435)

## Properties
Crystal system: trigonal
Symmetry: R-3c, No. 167
DFT formation energy in eV/atom: -0.12

---

(2)
Entry from Alexandria: Sm2TmSi after structural relaxation (PBE-GGA).

Cell: 4.713 4.656 4.656 Å, 90.00 90.00 90.00°
Sites, in units of the cell vectors:
Sm (0.000, 0.500, 0.000)
Sm (0.000, 0.000, 0.500)
Tm (0.500, 0.000, 0.000)
Si (0.500, 0.500, 0.500)

## Properties
Formation energy (no corrections) in eV/f.u.: -0.988
Crystal system: tetragonal
Symmetry: P4/mmm, No. 123
ΔE to the lowest computed polymorph in meV/atom: 0

---

(3)
Entry from Alexandria: NdGa6Ir4 after structural relaxation (PBE-GGA).

Cell: 3.900 7.456 7.456 Å, 120.00 90.00 90.00°
Sites, in units of the cell vectors:
Ir (0.500, 0.407, 0.204)
Ir (0.000, 0.333, 0.667)
Ir (0.500, 0.796, 0.593)
Ir (0.500, 0.796, 0.204)
Ga (0.500, 0.194, 0.387)
Ga (0.000, 0.532, 0.063)
Ga (0.500, 0.613, 0.806)
Ga (0.000, 0.937, 0.468)
Ga (0.500, 0.194, 0.806)
Ga (0.000, 0.532, 0.468)
Nd (0.000, 0.000, 0.000)

## Properties
Crystal system: hexagonal
Symmetry: P-6m2, No. 187
DFT formation energy in eV/atom: -0.55